Record 1
VASP calculation (PBE-GGA) on InAs2BrF after structural relaxation.

Summary:
The energy above the most stable polymorph in this dataset is 2.244 eV/f.u. The energy relative to the elements, uncorrected is 44.63 kJ/mol of atoms. The electronic total energy comes out at -2.654 eV per atom.

Cell: 5.3339 5.3339 5.3827 Å, 90.00 90.00 90.00°
Positions (direct):
As 0.0000 0.5000 0.0000
As 0.5000 0.0000 0.0000
F 0.5000 0.5000 0.5000
Br 0.0000 0.0000 0.5000
In 0.0000 0.0000 0.0000

***

Record 2
VASP calculation (PBE-GGA) on Er3Zn3Ru2 after structural relaxation.

Summary:
The electronic total energy comes out at -4.853 eV per atom.

Cell: 3.8045 5.4217 16.5198 Å, 90.00 90.00 110.54°
Positions (direct):
Er 0.9392 0.8783 0.3940
Er 0.0608 0.1217 0.8940
Er 0.9392 0.8783 0.1060
Er 0.0608 0.1217 0.6060
Er 0.6621 0.3241 0.2500
Er 0.3379 0.6759 0.7500
Zn 0.6554 0.3108 0.4734
Zn 0.3446 0.6892 0.9734
Zn 0.6554 0.3108 0.0266
Zn 0.3446 0.6892 0.5266
Zn 0.3764 0.7528 0.2500
Zn 0.6236 0.2472 0.7500
Ru 0.7715 0.5429 0.8773
Ru 0.2285 0.4571 0.3773
Ru 0.7715 0.5429 0.6227
Ru 0.2285 0.4571 0.1227

***

Record 3
VASP calculation (PBE-GGA) on TbPuHg4 after structural relaxation.

Summary:
The energy above the most stable polymorph in this dataset is 0.094 eV/f.u. The electronic total energy comes out at -3.624 eV per atom.

Cell: 6.0473 6.0470 5.0426 Å, 65.34 65.34 91.77°
Positions (direct):
Tb 0.5013 0.4973 0.9981
Pu 0.0013 0.9972 0.4981
Hg 0.5854 0.9151 0.2471
Hg 0.4173 0.0795 0.7490
Hg 0.0832 0.4130 0.7494
Hg 0.9193 0.5815 0.2470

***

Record 4
VASP calculation (PBE-GGA) on TlGa4Te7 after structural relaxation.

Summary:
The energy relative to the elements, uncorrected is -27.24 kJ/mol of atoms. The electronic total energy comes out at -3.321 eV per atom.

Cell: 6.9349 7.1022 16.5540 Å, 90.00 90.00 90.00°
Positions (direct):
Tl 0.3456 0.8829 0.5000
Tl 0.8456 0.1171 0.0000
Ga 0.6147 0.6574 0.8770
Ga 0.1010 0.8262 0.2486
Ga 0.6010 0.1738 0.2514
Ga 0.1147 0.3426 0.6230
Ga 0.1147 0.3426 0.3770
Ga 0.6147 0.6574 0.1230
Ga 0.1010 0.8262 0.7514
Ga 0.6010 0.1738 0.7486
Te 0.9949 0.6622 0.1132
Te 0.4949 0.3378 0.3868
Te 0.4750 0.3102 0.8864
Te 0.9750 0.6898 0.6136
Te 0.9750 0.6898 0.3864
Te 0.4750 0.3102 0.1136
Te 0.4914 0.8096 0.7368
Te 0.9914 0.1904 0.7632
Te 0.9914 0.1904 0.2368
Te 0.4914 0.8096 0.2632
Te 0.4552 0.8421 0.0000
Te 0.9552 0.1579 0.5000
Te 0.9949 0.6622 0.8868
Te 0.4949 0.3378 0.6132

***

Record 5
VASP calculation (PBE-GGA) on In3Fe after structural relaxation.

Summary:
The electronic total energy comes out at -3.766 eV per atom.

Cell: 5.5493 5.5493 5.5493 Å, 90.00 90.00 90.00°
Positions (direct):
In 0.7500 0.5000 0.0000
In 0.2500 0.5000 0.0000
In 0.0000 0.7500 0.5000
In 0.0000 0.2500 0.5000
In 0.5000 0.0000 0.2500
In 0.5000 0.0000 0.7500
Fe 0.0000 0.0000 0.0000
Fe 0.5000 0.5000 0.5000

***

Record 6
VASP calculation (PBE-GGA) on KTmZnS3 after structural relaxation.

Summary:
The energy relative to the elements, uncorrected is -143.80 kJ/mol of atoms. The electronic total energy comes out at -4.695 eV per atom.

Cell: 3.9526 8.7044 9.4849 Å, 108.11 90.00 90.00°
Positions (direct):
K 0.2500 0.2062 0.2287
K 0.7500 0.7938 0.7713
Tm 0.2500 0.6671 0.1409
Tm 0.7500 0.3329 0.8591
Zn 0.2500 0.0848 0.6075
Zn 0.7500 0.9152 0.3925
S 0.7500 0.8841 0.1429
S 0.2500 0.1159 0.8571
S 0.2500 0.7989 0.4614
S 0.7500 0.2011 0.5386
S 0.7500 0.4610 0.1530
S 0.2500 0.5390 0.8470

***

Record 7
VASP calculation (PBE-GGA) on Dy3PuAg4Se8 after structural relaxation.

Summary:
The energy relative to the elements, uncorrected is -105.19 kJ/mol of atoms. The electronic total energy comes out at -5.304 eV per atom.

Cell: 8.4027 8.0410 8.4011 Å, 121.58 120.01 90.00°
Positions (direct):
Dy 0.5000 0.5000 0.0000
Dy 0.5000 0.5000 0.5000
Dy 0.0000 0.5000 0.5000
Pu 0.0000 0.5000 0.0000
Ag 0.5000 0.0000 0.0000
Ag 0.5000 0.0000 0.5000
Ag 0.0000 0.0000 0.0000
Ag 0.0000 0.0000 0.5000
Se 0.2510 0.7470 0.9966
Se 0.2510 0.7469 0.5020
Se 0.2508 0.2532 0.5017
Se 0.7456 0.7470 0.9966
Se 0.2544 0.2530 0.0034
Se 0.7492 0.7468 0.4983
Se 0.7490 0.2531 0.4980
Se 0.7490 0.2530 0.0034

***

Record 8
VASP calculation (PBE-GGA) on LiScCu2 after structural relaxation.

Summary:
The electronic total energy comes out at -4.202 eV per atom.

Cell: 4.7741 4.7741 3.8808 Å, 66.03 66.03 48.87°
Positions (direct):
Cu 0.9985 0.9985 0.0013
Cu 0.7498 0.7498 0.7503
Li 0.5018 0.5018 0.4983
Sc 0.2500 0.2500 0.2501